(1)
Compound: Ca3AlTc
Source: Alexandria
Functional: PBE
Structure: optimized geometry

Total energy (eV/atom): -3.386
Space-group type: No. 221
Excess energy over the best structure of this formula in the dataset (meV/atom): 0
Spin magnetization (μB per cell): 0.00

abc: 5.3925 5.3925 5.3925
angles: 90.00 90.00 90.00
Element x y z (fractional)
Ca 0.0000 0.5000 0.0000
Ca 0.0000 0.0000 0.5000
Ca 0.5000 0.0000 0.0000
Tc 0.0000 0.0000 0.0000
Al 0.5000 0.5000 0.5000

(2)
Compound: KP3H2
Source: Alexandria
Functional: PBE
Structure: optimized geometry

Total energy (eV/atom): -4.112
Space-group type: No. 15
Spin magnetization (μB per cell): 0.00

abc: 5.5786 5.5789 7.8134
angles: 81.29 81.29 91.43
Element x y z (fractional)
K 0.3306 0.1694 0.7500
K 0.6694 0.8306 0.2500
P 0.0662 0.6881 0.5095
P 0.8119 0.4338 0.9904
P 0.9338 0.3119 0.4904
P 0.1881 0.5662 0.0096
P 0.8209 0.6791 0.7500
P 0.1791 0.3209 0.2500
H 0.8385 0.9268 0.7796
H 0.5732 0.6615 0.7204
H 0.1615 0.0732 0.2204
H 0.4268 0.3385 0.2796

(3)
Compound: PrSm3Sc2Te6
Source: Alexandria
Functional: PBE
Structure: optimized geometry

Total energy (eV/atom): -5.488
Space-group type: No. 12
Formation energy without anion corrections (eV/atom): -1.28
Spin magnetization (μB per cell): 0.00

abc: 4.3446 8.7943 9.7666
angles: 102.63 102.85 90.00
Element x y z (fractional)
Pr 0.5000 0.0000 0.0000
Sm 0.5000 0.5000 0.0000
Sm 0.8431 0.1688 0.6863
Sm 0.1569 0.8312 0.3137
Sc 0.8356 0.6696 0.6711
Sc 0.1644 0.3304 0.3289
Te 0.3270 0.8990 0.6539
Te 0.6727 0.5732 0.3454
Te 0.6730 0.1010 0.3461
Te 0.0094 0.2594 0.0189
Te 0.9906 0.7406 0.9811
Te 0.3273 0.4268 0.6546

(4)
Compound: BaNaScSi2O7
Source: Alexandria
Functional: PBE
Structure: optimized geometry

Total energy (eV/atom): -7.527
Space-group type: No. 11
Formation energy without anion corrections (eV/atom): -2.93
Spin magnetization (μB per cell): 0.00

abc: 5.6896 6.9193 8.9295
angles: 70.54 90.00 90.00
Element x y z (fractional)
Ba 0.7500 0.2055 0.4659
Ba 0.2500 0.7945 0.5341
Na 0.2500 0.7719 0.0048
Na 0.7500 0.2281 0.9952
Sc 0.2500 0.2019 0.7346
Sc 0.7500 0.7981 0.2654
Si 0.2500 0.1404 0.1563
Si 0.7500 0.8596 0.8437
Si 0.2500 0.4466 0.3196
Si 0.7500 0.5534 0.6804
O 0.2500 0.3850 0.1526
O 0.7500 0.6150 0.8474
O 0.0091 0.0339 0.2507
O 0.5091 0.9661 0.7493
O 0.9909 0.9661 0.7493
O 0.4909 0.0339 0.2507
O 0.2500 0.1373 0.9753
O 0.7500 0.8627 0.0247
O 0.2500 0.2372 0.4761
O 0.7500 0.7628 0.5239
O 0.4863 0.5808 0.3137
O 0.9863 0.4192 0.6863
O 0.5137 0.4192 0.6863
O 0.0137 0.5808 0.3137

(5)
Compound: SrPt2I
Source: Alexandria
Functional: PBE
Structure: optimized geometry

Total energy (eV/atom): -4.023
Space-group type: No. 122
Formation energy without anion corrections (eV/atom): -0.19
Excess energy over the best structure of this formula in the dataset (meV/atom): 0
Spin magnetization (μB per cell): 0.00

abc: 4.9085 4.9085 10.4524
angles: 76.42 76.42 90.00
Element x y z (fractional)
I 0.0000 0.0000 0.0000
I 0.7500 0.2500 0.5000
Sr 0.5000 0.5000 0.0000
Sr 0.2500 0.7500 0.5000
Pt 0.7941 0.1250 0.2500
Pt 0.9559 0.6250 0.2500
Pt 0.3750 0.2059 0.7500
Pt 0.8750 0.0441 0.7500

(6)
Compound: SrDyCu2
Source: Alexandria
Functional: PBE
Structure: optimized geometry

Total energy (eV/atom): -3.666
Space-group type: No. 123
Excess energy over the best structure of this formula in the dataset (meV/atom): 73
Spin magnetization (μB per cell): 0.00

abc: 3.5316 5.1285 5.1285
angles: 90.00 90.00 90.00
Element x y z (fractional)
Sr 0.5000 0.0000 0.0000
Cu 0.0000 0.0000 0.5000
Cu 0.0000 0.5000 0.0000
Dy 0.5000 0.5000 0.5000

Which of these has the lowest total energy? BaNaScSi2O7

What is the formula in the sixth record? SrDyCu2